Record 1
Computed, not measured: an optimized crystal structure of KLi2Mo at the PBE-GGA level of DFT.

Energy above the lowest structure with this stoichiometry   64 meV per atom
Density   2.85 g/cm3
DOS at the Fermi energy   3.57 states/eV/f.u.
Calculated formation energy   3.1 eV/f.u.

```
data_KLi2Mo
_symmetry_space_group_name_H-M 'R -3 m'
_symmetry_Int_Tables_number 166
_symmetry_space_group_name_Hall '-R 3 2"'
_cell_length_a 2.9470
_cell_length_b 2.9470
_cell_length_c 34.5943
_cell_angle_alpha 90.00
_cell_angle_beta 90.00
_cell_angle_gamma 120.00
loop_
_atom_site_label
_atom_site_fract_x
_atom_site_fract_y
_atom_site_fract_z
K1 0.0000 0.0000 0.0000
Li1 0.0000 0.0000 0.2354
Mo1 0.0000 0.0000 0.5000
```

***

Record 2
Computed, not measured: an optimized crystal structure of KLiMo2 at the PBE-GGA level of DFT.

Energy above the lowest structure with this stoichiometry   482 meV per atom
Density   5.01 g/cm3
DOS at the Fermi energy   5.33 states/eV/f.u.
Calculated formation energy   4.5 eV/f.u.

```
data_KLiMo2
_symmetry_space_group_name_H-M 'C m m m'
_symmetry_Int_Tables_number 65
_symmetry_space_group_name_Hall '-C 2 2'
_cell_length_a 5.144
_cell_length_b 11.531
_cell_length_c 2.660
_cell_angle_alpha 90.00
_cell_angle_beta 90.00
_cell_angle_gamma 90.00
loop_
_atom_site_label
_atom_site_fract_x
_atom_site_fract_y
_atom_site_fract_z
K1 0.000 0.000 0.000
Li1 0.000 0.500 0.000
Mo1 0.250 0.250 0.500
```

***

Record 3
Computed, not measured: an optimized crystal structure of KLiMo2 at the PBE-GGA level of DFT.

Energy above the lowest structure with this stoichiometry   324 meV per atom
Density   5.29 g/cm3
DOS at the Fermi energy   4.64 states/eV/f.u.
Calculated formation energy   3.9 eV/f.u.

```
data_KLiMo2
_symmetry_space_group_name_H-M 'C m m m'
_symmetry_Int_Tables_number 65
_symmetry_space_group_name_Hall '-C 2 2'
_cell_length_a 3.101
_cell_length_b 4.302
_cell_length_c 11.203
_cell_angle_alpha 90.00
_cell_angle_beta 90.00
_cell_angle_gamma 90.00
loop_
_atom_site_label
_atom_site_fract_x
_atom_site_fract_y
_atom_site_fract_z
K1 0.000 0.000 0.000
Li1 0.000 0.000 0.500
Mo1 0.000 0.500 0.282
```

***

Record 4
Computed, not measured: an optimized crystal structure of KLiMo2 at the PBE-GGA level of DFT.

Energy above the lowest structure with this stoichiometry   163 meV per atom
Density   4.38 g/cm3
DOS at the Fermi energy   2.73 states/eV/f.u.
Calculated formation energy   3.2 eV/f.u.

```
data_KLiMo2
_symmetry_space_group_name_H-M 'P m m 2'
_symmetry_Int_Tables_number 25
_symmetry_space_group_name_Hall 'P 2 -2'
_cell_length_a 2.617
_cell_length_b 4.265
_cell_length_c 8.075
_cell_angle_alpha 90.00
_cell_angle_beta 90.00
_cell_angle_gamma 90.00
loop_
_atom_site_label
_atom_site_fract_x
_atom_site_fract_y
_atom_site_fract_z
K1 0.000 0.000 0.000
Li1 0.500 0.500 0.338
Mo1 0.000 0.000 0.524
Mo2 0.500 0.500 0.675
```

***

Record 5
Computed, not measured: an optimized crystal structure of KLi3Mo at the PBE-GGA level of DFT.

Energy above the lowest structure with this stoichiometry   0 meV per atom
Density   1.58 g/cm3
DOS at the Fermi energy   3.77 states/eV/f.u.
Calculated formation energy   4.9 eV/f.u.

```
data_KLi3Mo
_symmetry_space_group_name_H-M 'P m -3 m'
_symmetry_Int_Tables_number 221
_symmetry_space_group_name_Hall '-P 4 2 3'
_cell_length_a 5.469
_cell_length_b 5.469
_cell_length_c 5.469
_cell_angle_alpha 90.00
_cell_angle_beta 90.00
_cell_angle_gamma 90.00
loop_
_atom_site_label
_atom_site_fract_x
_atom_site_fract_y
_atom_site_fract_z
K1 0.000 0.000 0.000
Li1 0.000 0.500 0.500
Mo1 0.500 0.500 0.500
```

***

Record 6
Computed, not measured: an optimized crystal structure of KLiMo2 at the PBE-GGA level of DFT.

Energy above the lowest structure with this stoichiometry   396 meV per atom
Density   5.29 g/cm3
DOS at the Fermi energy   4.27 states/eV/f.u.
Calculated formation energy   4.2 eV/f.u.

```
data_KLiMo2
_symmetry_space_group_name_H-M 'R -3 m'
_symmetry_Int_Tables_number 166
_symmetry_space_group_name_Hall '-R 3 2"'
_cell_length_a 2.7668
_cell_length_b 2.7668
_cell_length_c 33.8001
_cell_angle_alpha 90.00
_cell_angle_beta 90.00
_cell_angle_gamma 120.00
loop_
_atom_site_label
_atom_site_fract_x
_atom_site_fract_y
_atom_site_fract_z
K1 0.0000 0.0000 0.0000
Li1 0.0000 0.0000 0.5000
Mo1 0.0000 0.0000 0.2405
```

***

Record 7
Computed, not measured: an optimized crystal structure of KLi2Mo at the PBE-GGA level of DFT.

Energy above the lowest structure with this stoichiometry   246 meV per atom
Density   2.44 g/cm3
DOS at the Fermi energy   2.87 states/eV/f.u.
Calculated formation energy   3.8 eV/f.u.

```
data_KLi2Mo
_symmetry_space_group_name_H-M 'I m m m'
_symmetry_Int_Tables_number 71
_symmetry_space_group_name_Hall '-I 2 2'
_cell_length_a 2.773
_cell_length_b 6.222
_cell_length_c 11.762
_cell_angle_alpha 90.00
_cell_angle_beta 90.00
_cell_angle_gamma 90.00
loop_
_atom_site_label
_atom_site_fract_x
_atom_site_fract_y
_atom_site_fract_z
K1 0.000 0.000 0.000
Li1 0.000 0.500 0.210
Mo1 0.000 0.000 0.500
```

***

Record 8
Computed, not measured: an optimized crystal structure of KLi2Mo at the PBE-GGA level of DFT.

Energy above the lowest structure with this stoichiometry   151 meV per atom
Density   3.05 g/cm3
DOS at the Fermi energy   3.45 states/eV/f.u.
Calculated formation energy   3.4 eV/f.u.

```
data_KLi2Mo
_symmetry_space_group_name_H-M 'P 4/m m m'
_symmetry_Int_Tables_number 123
_symmetry_space_group_name_Hall '-P 4 2'
_cell_length_a 5.548
_cell_length_b 5.548
_cell_length_c 2.638
_cell_angle_alpha 90.00
_cell_angle_beta 90.00
_cell_angle_gamma 90.00
loop_
_atom_site_label
_atom_site_fract_x
_atom_site_fract_y
_atom_site_fract_z
K1 0.000 0.000 0.000
Li1 0.000 0.500 0.500
Mo1 0.500 0.500 0.000
```

***

Record 9
Computed, not measured: an optimized crystal structure of KLiMo2 at the PBE-GGA level of DFT.

Energy above the lowest structure with this stoichiometry   697 meV per atom
Density   5.37 g/cm3
DOS at the Fermi energy   2.55 states/eV/f.u.
Calculated formation energy   5.4 eV/f.u.

```
data_KLiMo2
_symmetry_space_group_name_H-M 'F -4 3 m'
_symmetry_Int_Tables_number 216
_symmetry_space_group_name_Hall 'F -4 2 3'
_cell_length_a 6.652
_cell_length_b 6.652
_cell_length_c 6.652
_cell_angle_alpha 90.00
_cell_angle_beta 90.00
_cell_angle_gamma 90.00
loop_
_atom_site_label
_atom_site_fract_x
_atom_site_fract_y
_atom_site_fract_z
K1 0.000 0.000 0.000
Li1 0.250 0.250 0.750
Mo1 0.000 0.000 0.500
Mo2 0.250 0.250 0.250
```

***

Record 10
Computed, not measured: an optimized crystal structure of KLi2Mo at the PBE-GGA level of DFT.

Energy above the lowest structure with this stoichiometry   14 meV per atom
Density   2.96 g/cm3
DOS at the Fermi energy   3.67 states/eV/f.u.
Calculated formation energy   2.9 eV/f.u.

```
data_KLi2Mo
_symmetry_space_group_name_H-M 'C m m 2'
_symmetry_Int_Tables_number 35
_symmetry_space_group_name_Hall 'C 2 -2'
_cell_length_a 3.479
_cell_length_b 4.324
_cell_length_c 11.105
_cell_angle_alpha 90.00
_cell_angle_beta 90.00
_cell_angle_gamma 90.00
loop_
_atom_site_label
_atom_site_fract_x
_atom_site_fract_y
_atom_site_fract_z
K1 0.000 0.000 0.000
Li1 0.000 0.000 0.470
Li2 0.000 0.500 0.697
Mo1 0.000 0.500 0.271
```

***

Record 11
Computed, not measured: an optimized crystal structure of KLi2Mo at the PBE-GGA level of DFT.

Energy above the lowest structure with this stoichiometry   0 meV per atom
Density   2.91 g/cm3
DOS at the Fermi energy   4.57 states/eV/f.u.
Calculated formation energy   2.8 eV/f.u.

```
data_KLi2Mo
_symmetry_space_group_name_H-M 'P 4/m m m'
_symmetry_Int_Tables_number 123
_symmetry_space_group_name_Hall '-P 4 2'
_cell_length_a 2.828
_cell_length_b 2.828
_cell_length_c 10.624
_cell_angle_alpha 90.00
_cell_angle_beta 90.00
_cell_angle_gamma 90.00
loop_
_atom_site_label
_atom_site_fract_x
_atom_site_fract_y
_atom_site_fract_z
K1 0.000 0.000 0.000
Li1 0.500 0.500 0.305
Mo1 0.000 0.000 0.500
```

***

Record 12
Computed, not measured: an optimized crystal structure of KLiMo2 at the PBE-GGA level of DFT.

Energy above the lowest structure with this stoichiometry   391 meV per atom
Density   5.24 g/cm3
DOS at the Fermi energy   5.40 states/eV/f.u.
Calculated formation energy   4.1 eV/f.u.

```
data_KLiMo2
_symmetry_space_group_name_H-M 'P 4/m m m'
_symmetry_Int_Tables_number 123
_symmetry_space_group_name_Hall '-P 4 2'
_cell_length_a 2.622
_cell_length_b 2.622
_cell_length_c 10.973
_cell_angle_alpha 90.00
_cell_angle_beta 90.00
_cell_angle_gamma 90.00
loop_
_atom_site_label
_atom_site_fract_x
_atom_site_fract_y
_atom_site_fract_z
K1 0.000 0.000 0.000
Li1 0.000 0.000 0.500
Mo1 0.500 0.500 0.289
```

***

> Look up the DOS at the Fermi energy of the fourth one.

2.73 states/eV/f.u.

***

> Number 6 is which compound?

KLiMo2